# La4Tb15Pr, relaxed, DFT GGA-PBE
data_La4Tb15Pr
_cell_length_a 5.121
_cell_length_b 5.121
_cell_length_c 25.416
_cell_angle_alpha 90.00
_cell_angle_beta 90.00
_cell_angle_gamma 90.00
_space_group_name_H-M_alt 'P 4/m m m'
_space_group_IT_number 123
_space_group_name_Hall '-P 4 2'
loop_
_atom_site_label
_atom_site_type_symbol
_atom_site_fract_x
_atom_site_fract_y
_atom_site_fract_z
La1 La 0.000 0.000 0.100
La2 La 0.000 0.000 0.300
Tb1 Tb 0.000 0.500 0.000
Tb2 Tb 0.000 0.500 0.200
Tb3 Tb 0.000 0.500 0.401
Tb4 Tb 0.500 0.500 0.100
Tb5 Tb 0.500 0.500 0.300
Tb6 Tb 0.500 0.500 0.500
Pr1 Pr 0.000 0.000 0.500
# V	33.3	A^3/atom
# energy of formation	24	meV/atom